(1)
{"formula": "Al6W", "functional": "PBE", "state": "relaxed", "lattice": [[-0.627, 4.245, -2.845], [-3.906, -1.719, -2.880], [-5.910, 3.214, 6.097]], "species": ["Al", "Al", "Al", "Al", "Al", "Al", "Al", "Al", "Al", "Al", "Al", "Al", "W", "W"], "fractional_positions": [[0.876, 0.124, 0.604], [0.876, 0.124, 0.896], [0.326, 0.326, 0.500], [0.124, 0.876, 0.396], [0.326, 0.326, 0.000], [0.968, 0.390, 0.250], [0.674, 0.674, 0.500], [0.390, 0.968, 0.750], [0.124, 0.876, 0.104], [0.032, 0.610, 0.750], [0.674, 0.674, 0.000], [0.610, 0.032, 0.250], [0.548, 0.452, 0.750], [0.452, 0.548, 0.250]], "e_tot_ev_per_atom": -5.1098, "m_tot_mub_per_atom": 0.0005, "space_group": "Cmcm"}

(2)
{"formula": "Sr3Ir", "functional": "PBE", "state": "relaxed", "lattice": [[6.563, 0.000, 0.000], [0.000, 13.115, 0.000], [0.000, 0.000, 7.559]], "species": ["Sr", "Sr", "Sr", "Sr", "Sr", "Sr", "Sr", "Sr", "Sr", "Sr", "Sr", "Sr", "Ir", "Ir", "Ir", "Ir"], "fractional_positions": [[0.000, 0.500, 0.603], [0.500, 0.654, 0.414], [0.000, 0.673, 0.090], [0.000, 0.846, 0.586], [0.500, 0.173, 0.910], [0.500, 0.346, 0.414], [0.500, 0.500, 0.950], [0.500, 0.827, 0.910], [0.000, 0.000, 0.050], [0.000, 0.154, 0.586], [0.500, 0.000, 0.397], [0.000, 0.327, 0.090], [0.209, 0.500, 0.258], [0.709, 0.000, 0.742], [0.791, 0.500, 0.258], [0.291, 0.000, 0.742]], "e_tot_ev_per_atom": -3.6267, "m_tot_mub_per_atom": 0.0002, "space_group": "Pmmn"}

(3)
{"formula": "ScCoAsOs", "functional": "PBE", "state": "relaxed", "lattice": [[-1.152, 2.197, 3.697], [-4.117, 1.639, 0.424], [-2.843, -1.842, 2.889]], "species": ["Co", "Os", "Sc", "As"], "fractional_positions": [[0.750, 0.750, 0.750], [0.500, 0.500, 0.500], [0.250, 0.250, 0.250], [0.000, 0.000, 0.000]], "de_polymorph_mev_per_atom": 309.1, "e_tot_ev_per_atom": -7.1706, "m_tot_mub_per_atom": 0.7087, "space_group": "F-43m"}

(4)
{"formula": "CsTmZnTeSe2", "functional": "PBE", "state": "relaxed", "lattice": [[2.105, -8.422, 0.000], [2.105, 8.422, 0.000], [0.000, 0.000, 11.338]], "species": ["Se", "Se", "Se", "Se", "Zn", "Zn", "Te", "Te", "Cs", "Cs", "Tm", "Tm"], "fractional_positions": [[0.393, 0.607, 0.935], [0.393, 0.607, 0.565], [0.607, 0.393, 0.435], [0.607, 0.393, 0.065], [0.530, 0.470, 0.250], [0.470, 0.530, 0.750], [0.072, 0.928, 0.750], [0.928, 0.072, 0.250], [0.237, 0.763, 0.250], [0.763, 0.237, 0.750], [0.000, 0.000, 0.000], [0.000, 0.000, 0.500]], "e_tot_ev_per_atom": -4.0845, "m_tot_mub_per_atom": 0.0012, "space_group": "Cmcm"}

(5)
{"formula": "HfBeZn2", "functional": "PBE", "state": "relaxed", "lattice": [[0.292, -4.273, 0.759], [2.013, -1.441, 3.577], [-2.307, -1.800, 3.218]], "species": ["Hf", "Be", "Zn", "Zn"], "fractional_positions": [[0.250, 0.250, 0.250], [0.500, 0.500, 0.500], [0.750, 0.750, 0.750], [0.000, 0.000, 0.000]], "e_tot_ev_per_atom": -4.0331, "m_tot_mub_per_atom": 0.0001, "space_group": "F-43m"}

(6)
{"formula": "LiZrAl2", "functional": "PBE", "state": "relaxed", "lattice": [[2.517, -3.169, 2.117], [-1.928, -3.907, 1.371], [1.006, -3.914, -2.128]], "species": ["Zr", "Al", "Al", "Li"], "fractional_positions": [[0.500, 0.500, 0.500], [0.000, 0.000, 0.000], [0.250, 0.250, 0.250], [0.750, 0.750, 0.750]], "e_tot_ev_per_atom": -4.5573, "m_tot_mub_per_atom": 0.0182, "space_group": "F-43m"}

(7)
{"formula": "NaHoNO", "functional": "PBE", "state": "relaxed", "lattice": [[-0.165, 2.174, -3.075], [-4.643, 0.436, 0.558], [1.049, 5.908, 4.121]], "species": ["Na", "Na", "Ho", "Ho", "O", "O", "N", "N"], "fractional_positions": [[0.500, 0.939, 0.139], [0.500, 0.439, 0.861], [0.000, 0.439, 0.323], [0.000, 0.939, 0.677], [0.500, 0.938, 0.822], [0.500, 0.438, 0.178], [0.000, 0.439, 0.637], [0.000, 0.939, 0.363]], "de_polymorph_mev_per_atom": 0.0, "e_tot_ev_per_atom": -6.2133, "m_tot_mub_per_atom": 0.2010, "space_group": "Pmma"}

(8)
{"formula": "NaLiNiTe", "functional": "PBE", "state": "relaxed", "lattice": [[0.000, 3.363, 3.363], [3.363, 0.000, 3.363], [3.363, 3.363, 0.000]], "species": ["Te", "Ni", "Na", "Li"], "fractional_positions": [[0.000, 0.000, 0.000], [0.500, 0.500, 0.500], [0.250, 0.250, 0.250], [0.750, 0.750, 0.750]], "de_polymorph_mev_per_atom": 230.0, "e_tot_ev_per_atom": -3.0390, "m_tot_mub_per_atom": 0.1021, "space_group": "F-43m"}

(9)
{"formula": "BaDyTe", "functional": "PBE", "state": "relaxed", "lattice": [[-2.831, -2.912, 3.585], [1.158, 0.337, 5.281], [-3.445, 2.466, 3.376]], "species": ["Ba", "Dy", "Te"], "fractional_positions": [[0.250, 0.250, 0.250], [0.750, 0.750, 0.750], [0.000, 0.000, 0.000]], "e_tot_ev_per_atom": -3.6943, "m_tot_mub_per_atom": 0.0173, "space_group": "F-43m"}

(10)
{"formula": "Ta12Co17", "functional": "PBE", "state": "relaxed", "lattice": [[-4.665, 4.665, 4.665], [4.665, -4.665, 4.665], [4.665, 4.665, -4.665]], "species": ["Co", "Co", "Co", "Co", "Co", "Co", "Co", "Co", "Co", "Co", "Co", "Co", "Co", "Co", "Co", "Co", "Co", "Ta", "Ta", "Ta", "Ta", "Ta", "Ta", "Ta", "Ta", "Ta", "Ta", "Ta", "Ta"], "fractional_positions": [[0.426, 0.000, 0.690], [0.574, 0.264, 0.574], [0.658, 0.000, 0.000], [0.426, 0.690, 0.000], [0.000, 0.690, 0.426], [0.310, 0.310, 0.736], [0.574, 0.574, 0.264], [0.000, 0.426, 0.690], [0.000, 0.658, 0.000], [0.000, 0.000, 0.658], [0.000, 0.000, 0.000], [0.310, 0.736, 0.310], [0.690, 0.426, 0.000], [0.690, 0.000, 0.426], [0.736, 0.310, 0.310], [0.264, 0.574, 0.574], [0.342, 0.342, 0.342], [0.593, 0.593, 0.795], [0.203, 0.407, 0.000], [0.205, 0.797, 0.797], [0.795, 0.593, 0.593], [0.407, 0.000, 0.203], [0.797, 0.797, 0.205], [0.407, 0.203, 0.000], [0.593, 0.795, 0.593], [0.203, 0.000, 0.407], [0.000, 0.407, 0.203], [0.000, 0.203, 0.407], [0.797, 0.205, 0.797]], "de_polymorph_mev_per_atom": 262.2, "e_tot_ev_per_atom": -8.8150, "m_tot_mub_per_atom": 0.1144, "space_group": "I-43m", "formation_energy_kj_per_mol_atoms": 24.63}

(11)
{"formula": "GdYNb2Sn2", "functional": "PBE", "state": "relaxed", "lattice": [[-3.268, 0.616, -2.567], [1.618, -2.761, -2.722], [-4.078, -6.070, 3.734]], "species": ["Sn", "Sn", "Gd", "Nb", "Nb", "Y"], "fractional_positions": [[0.000, 0.000, 0.749], [0.500, 0.500, 0.250], [0.000, 0.000, 0.353], [0.500, 0.000, 0.000], [0.000, 0.500, 0.000], [0.500, 0.500, 0.649]], "e_tot_ev_per_atom": -7.0015, "m_tot_mub_per_atom": 0.1867, "space_group": "P4mm"}

(12)
{"formula": "HoFeNi2", "functional": "PBE", "state": "relaxed", "lattice": [[5.485, -2.175, 6.136], [6.043, 2.731, 5.337], [2.248, 1.069, 8.140]], "species": ["Ho", "Ho", "Ho", "Ni", "Ni", "Ni", "Ni", "Ni", "Ni", "Fe", "Fe", "Fe"], "fractional_positions": [[0.000, 0.000, 0.000], [0.861, 0.861, 0.861], [0.139, 0.139, 0.139], [0.583, 0.082, 0.583], [0.417, 0.417, 0.918], [0.583, 0.583, 0.082], [0.918, 0.417, 0.417], [0.082, 0.583, 0.583], [0.417, 0.918, 0.417], [0.667, 0.667, 0.667], [0.333, 0.333, 0.333], [0.500, 0.500, 0.500]], "e_tot_ev_per_atom": -6.3055, "m_tot_mub_per_atom": 0.7249, "space_group": "R-3m", "formation_energy_kj_per_mol_atoms": -28.97}

(13)
{"formula": "CsSmSnTe3", "functional": "PBE", "state": "relaxed", "lattice": [[17.844, 0.000, 0.000], [0.000, 4.507, 0.000], [0.000, 0.000, 12.799]], "species": ["Te", "Te", "Te", "Te", "Te", "Te", "Te", "Te", "Te", "Te", "Te", "Te", "Cs", "Cs", "Cs", "Cs", "Sn", "Sn", "Sn", "Sn", "Sm", "Sm", "Sm", "Sm"], "fractional_positions": [[0.915, 0.750, 0.733], [0.398, 0.250, 0.461], [0.585, 0.250, 0.233], [0.085, 0.250, 0.267], [0.629, 0.250, 0.833], [0.871, 0.750, 0.333], [0.371, 0.750, 0.167], [0.898, 0.250, 0.039], [0.415, 0.750, 0.767], [0.102, 0.750, 0.961], [0.129, 0.250, 0.667], [0.602, 0.750, 0.539], [0.227, 0.750, 0.428], [0.727, 0.750, 0.072], [0.273, 0.250, 0.928], [0.773, 0.250, 0.572], [0.466, 0.250, 0.083], [0.534, 0.750, 0.917], [0.966, 0.250, 0.417], [0.034, 0.750, 0.583], [0.491, 0.750, 0.352], [0.009, 0.250, 0.852], [0.509, 0.250, 0.648], [0.991, 0.750, 0.148]], "e_tot_ev_per_atom": -4.1984, "m_tot_mub_per_atom": 0.0002, "space_group": "Pnma"}

(14)
{"formula": "LaMgAgO3", "functional": "PBE", "state": "relaxed", "lattice": [[5.956, -1.917, 0.000], [5.956, 1.917, 0.000], [0.000, 0.000, 8.220]], "species": ["O", "O", "O", "O", "O", "O", "La", "La", "Mg", "Mg", "Ag", "Ag"], "fractional_positions": [[0.628, 0.628, 0.502], [0.903, 0.903, 0.750], [0.628, 0.628, 0.998], [0.372, 0.372, 0.002], [0.097, 0.097, 0.250], [0.372, 0.372, 0.498], [0.000, 0.000, 0.500], [0.000, 0.000, 0.000], [0.652, 0.652, 0.250], [0.348, 0.348, 0.750], [0.658, 0.658, 0.750], [0.342, 0.342, 0.250]], "e_tot_ev_per_atom": -6.0720, "m_tot_mub_per_atom": 0.0002, "space_group": "Cmcm"}

(15)
{"formula": "HfW5", "functional": "PBE", "state": "relaxed", "lattice": [[4.497, 0.000, 0.000], [0.000, 4.620, 2.667], [0.000, -4.620, 2.667]], "species": ["W", "W", "W", "W", "W", "Hf"], "fractional_positions": [[0.000, 0.667, 0.333], [0.500, 0.500, 0.000], [0.000, 0.333, 0.667], [0.500, 0.000, 0.500], [0.500, 0.500, 0.500], [0.000, 0.000, 0.000]], "e_tot_ev_per_atom": -12.1489, "m_tot_mub_per_atom": 0.0006, "space_group": "P6/mmm", "formation_energy_kj_per_mol_atoms": 29.96}

(16)
{"formula": "TmBiAu2", "functional": "PBE", "state": "relaxed", "lattice": [[4.554, 0.000, 0.000], [0.000, 1.887, 5.539], [0.000, -1.887, 5.539]], "species": ["Bi", "Au", "Au", "Tm"], "fractional_positions": [[0.000, 0.650, 0.650], [0.000, 0.915, 0.915], [0.500, 0.077, 0.077], [0.500, 0.358, 0.358]], "e_tot_ev_per_atom": -4.2580, "m_tot_mub_per_atom": 0.0005, "space_group": "Amm2"}

(17)
{"formula": "CsTbNiTe3", "functional": "PBE", "state": "relaxed", "lattice": [[11.980, 0.000, 0.000], [0.000, 4.575, 0.000], [0.000, 0.000, 14.416]], "species": ["Te", "Te", "Te", "Te", "Te", "Te", "Te", "Te", "Te", "Te", "Te", "Te", "Ni", "Ni", "Ni", "Ni", "Cs", "Cs", "Cs", "Cs", "Tb", "Tb", "Tb", "Tb"], "fractional_positions": [[0.900, 0.500, 0.563], [0.729, 0.500, 0.284], [0.441, 0.000, 0.316], [0.271, 0.000, 0.716], [0.400, 0.500, 0.937], [0.059, 0.500, 0.816], [0.559, 0.500, 0.684], [0.941, 0.000, 0.184], [0.100, 0.000, 0.437], [0.229, 0.500, 0.216], [0.600, 0.000, 0.063], [0.771, 0.000, 0.784], [0.727, 0.000, 0.208], [0.273, 0.500, 0.792], [0.227, 0.000, 0.292], [0.773, 0.500, 0.708], [0.673, 0.000, 0.497], [0.827, 0.500, 0.997], [0.327, 0.500, 0.503], [0.173, 0.000, 0.003], [0.001, 0.500, 0.320], [0.501, 0.500, 0.180], [0.999, 0.000, 0.680], [0.499, 0.000, 0.820]], "de_polymorph_mev_per_atom": 66.9, "e_tot_ev_per_atom": -4.2550, "m_tot_mub_per_atom": 0.0054, "space_group": "Pnma"}

(18)
{"formula": "LaBeTlNi", "functional": "PBE", "state": "relaxed", "lattice": [[2.932, -3.899, 0.423], [2.370, -0.837, 4.203], [-1.320, -3.759, 2.848]], "species": ["Tl", "Be", "La", "Ni"], "fractional_positions": [[0.000, 0.000, 0.000], [0.750, 0.750, 0.750], [0.250, 0.250, 0.250], [0.500, 0.500, 0.500]], "de_polymorph_mev_per_atom": 192.2, "e_tot_ev_per_atom": -3.9099, "m_tot_mub_per_atom": 0.0011, "space_group": "F-43m"}

(19)
{"formula": "Tm2LuIn3CuAg2", "functional": "PBE", "state": "relaxed", "lattice": [[3.812, 0.000, 0.000], [0.000, 6.701, 3.875], [0.000, -6.701, 3.875]], "species": ["Tm", "Tm", "In", "In", "In", "Cu", "Ag", "Ag", "Lu"], "fractional_positions": [[0.000, 0.600, 0.000], [0.000, 0.000, 0.600], [0.500, 0.746, 0.746], [0.500, 0.000, 0.254], [0.500, 0.254, 0.000], [0.000, 0.000, 0.000], [0.500, 0.334, 0.666], [0.500, 0.666, 0.334], [0.000, 0.400, 0.400]], "e_tot_ev_per_atom": -3.8642, "m_tot_mub_per_atom": 0.0008, "space_group": "Amm2"}

(20)
{"formula": "HgGeBi2", "functional": "PBE", "state": "relaxed", "lattice": [[3.836, -2.511, 2.824], [2.065, 2.325, 4.396], [-1.116, -1.993, 4.876]], "species": ["Bi", "Bi", "Ge", "Hg"], "fractional_positions": [[0.000, 0.000, 0.000], [0.250, 0.250, 0.250], [0.750, 0.750, 0.750], [0.500, 0.500, 0.500]], "e_tot_ev_per_atom": -3.0168, "space_group": "F-43m"}

(21)
{"formula": "UNbTl", "functional": "PBE", "state": "relaxed", "lattice": [[0.000, 3.417, 3.417], [3.417, 0.000, 3.417], [3.417, 3.417, 0.000]], "species": ["Tl", "Nb", "U"], "fractional_positions": [[0.750, 0.750, 0.750], [0.250, 0.250, 0.250], [0.000, 0.000, 0.000]], "de_polymorph_mev_per_atom": 431.8, "e_tot_ev_per_atom": -6.4959, "m_tot_mub_per_atom": 0.1223, "space_group": "F-43m"}

(22)
{"formula": "CsTaNi", "functional": "PBE", "state": "relaxed", "lattice": [[0.000, 3.349, 3.349], [3.349, 0.000, 3.349], [3.349, 3.349, 0.000]], "species": ["Ta", "Cs", "Ni"], "fractional_positions": [[0.750, 0.750, 0.750], [0.250, 0.250, 0.250], [0.000, 0.000, 0.000]], "de_polymorph_mev_per_atom": 188.3, "e_tot_ev_per_atom": -4.0165, "m_tot_mub_per_atom": 0.4922, "space_group": "F-43m"}

(23)
{"formula": "Li7LuO6", "functional": "PBE", "state": "relaxed", "lattice": [[5.613, 0.000, 0.000], [-2.807, 4.860, 0.000], [-2.807, 1.620, 5.075]], "species": ["Li", "Li", "Li", "Li", "Li", "Li", "Li", "O", "O", "O", "O", "O", "O", "Lu"], "fractional_positions": [[0.868, 0.733, 0.647], [0.502, 0.930, 0.348], [0.267, 0.487, 0.647], [0.346, 0.654, 0.038], [0.070, 0.225, 0.348], [0.775, 0.498, 0.348], [0.513, 0.132, 0.647], [0.752, 0.879, 0.255], [0.931, 0.402, 0.734], [0.382, 0.248, 0.255], [0.598, 0.794, 0.734], [0.206, 0.069, 0.734], [0.121, 0.618, 0.255], [0.000, 0.000, 0.999]], "e_tot_ev_per_atom": -5.3018, "m_tot_mub_per_atom": 0.1428, "space_group": "R3"}